[1]
! Rb2TlO, relaxed, DFT PBE-GGA; values from VASP
! - Electronic total energy: -2.87 eV/atom
! - Space group: No. 166
! - Uncorrected formation energy: -0.5501 eV per atom
! - Offset from the most stable computed form: 14.6 kJ per mole of atoms
&SYSTEM
  ibrav = 0, nat = 4, ntyp = 3
/
ATOMIC_SPECIES
Rb 85.47 Rb.upf
Tl 204.38 Tl.upf
O 16.00 O.upf
CELL_PARAMETERS angstrom
1.959 1.131 11.080
-1.959 1.131 11.080
0.000 -2.263 11.080
ATOMIC_POSITIONS crystal
Rb 0.122 0.122 0.122
Rb 0.878 0.878 0.878
Tl 0.000 0.000 0.000
O 0.500 0.500 0.500

---

[2]
! Rb5Tl2O5, relaxed, DFT PBE-GGA; values from VASP
! - Electronic total energy: -3.84 eV/atom
! - Space group: No. 12
! - Uncorrected formation energy: -0.9728 eV per atom
&SYSTEM
  ibrav = 0, nat = 12, ntyp = 3
/
ATOMIC_SPECIES
Rb 85.47 Rb.upf
Tl 204.38 Tl.upf
O 16.00 O.upf
CELL_PARAMETERS angstrom
6.616 -1.983 0.000
6.616 1.983 0.000
-2.785 0.000 10.536
ATOMIC_POSITIONS crystal
Rb 0.000 0.000 0.000
Rb 0.150 0.150 0.551
Rb 0.260 0.260 0.865
Rb 0.740 0.740 0.135
Rb 0.850 0.850 0.449
Tl 0.478 0.478 0.712
Tl 0.522 0.522 0.288
O 0.121 0.121 0.288
O 0.388 0.388 0.123
O 0.500 0.500 0.500
O 0.612 0.612 0.877
O 0.879 0.879 0.712

---

[3]
! Rb12Tl3O5, relaxed, DFT PBE-GGA; values from VASP
! - Electronic total energy: -2.65 eV/atom
! - Space group: No. 230
! - Uncorrected formation energy: -0.4762 eV per atom
&SYSTEM
  ibrav = 0, nat = 80, ntyp = 3
/
ATOMIC_SPECIES
Rb 85.47 Rb.upf
Tl 204.38 Tl.upf
O 16.00 O.upf
CELL_PARAMETERS angstrom
-9.400 9.400 9.400
9.400 -9.400 9.400
9.400 9.400 -9.400
ATOMIC_POSITIONS crystal
Rb 0.001 0.685 0.099
Rb 0.001 0.816 0.902
Rb 0.086 0.684 0.685
Rb 0.086 0.902 0.401
Rb 0.098 0.599 0.914
Rb 0.098 0.999 0.184
Rb 0.099 0.001 0.685
Rb 0.099 0.598 0.414
Rb 0.184 0.098 0.999
Rb 0.184 0.586 0.185
Rb 0.185 0.184 0.586
Rb 0.185 0.501 0.599
Rb 0.315 0.901 0.999
Rb 0.315 0.914 0.316
Rb 0.316 0.315 0.914
Rb 0.316 0.501 0.402
Rb 0.401 0.086 0.902
Rb 0.401 0.815 0.499
Rb 0.402 0.316 0.501
Rb 0.402 0.586 0.901
Rb 0.414 0.099 0.598
Rb 0.414 0.815 0.816
Rb 0.499 0.401 0.815
Rb 0.499 0.598 0.684
Rb 0.501 0.402 0.316
Rb 0.501 0.599 0.185
Rb 0.586 0.185 0.184
Rb 0.586 0.901 0.402
Rb 0.598 0.414 0.099
Rb 0.598 0.684 0.499
Rb 0.599 0.185 0.501
Rb 0.599 0.914 0.098
Rb 0.684 0.499 0.598
Rb 0.684 0.685 0.086
Rb 0.685 0.086 0.684
Rb 0.685 0.099 0.001
Rb 0.815 0.499 0.401
Rb 0.815 0.816 0.414
Rb 0.816 0.414 0.815
Rb 0.816 0.902 0.001
Rb 0.901 0.402 0.586
Rb 0.901 0.999 0.315
Rb 0.902 0.001 0.816
Rb 0.902 0.401 0.086
Rb 0.914 0.098 0.599
Rb 0.914 0.316 0.315
Rb 0.999 0.184 0.098
Rb 0.999 0.315 0.901
Tl 0.125 0.250 0.375
Tl 0.125 0.375 0.750
Tl 0.250 0.375 0.125
Tl 0.250 0.875 0.625
Tl 0.375 0.125 0.250
Tl 0.375 0.750 0.125
Tl 0.625 0.250 0.875
Tl 0.625 0.875 0.750
Tl 0.750 0.125 0.375
Tl 0.750 0.625 0.875
Tl 0.875 0.625 0.250
Tl 0.875 0.750 0.625
O 0.000 0.000 0.000
O 0.000 0.000 0.500
O 0.000 0.500 0.000
O 0.000 0.500 0.500
O 0.125 0.750 0.875
O 0.125 0.875 0.250
O 0.250 0.125 0.875
O 0.250 0.625 0.375
O 0.375 0.250 0.625
O 0.375 0.625 0.750
O 0.500 0.000 0.000
O 0.500 0.000 0.500
O 0.500 0.500 0.000
O 0.500 0.500 0.500
O 0.625 0.375 0.250
O 0.625 0.750 0.375
O 0.750 0.375 0.625
O 0.750 0.875 0.125
O 0.875 0.125 0.750
O 0.875 0.250 0.125